Bi3PI | Alexandria | PBE | optimized geometry; formation energy without anion corrections = 1.459 eV/atom; energy above the most stable polymorph in this dataset = 1008 meV per atom; space group = Pm-3m; crystal system = cubic; E = -2.2614 eV/atom
1.0
5.877 0.000 0.000
0.000 5.877 0.000
0.000 0.000 5.877
Bi P I
3 1 1
Direct
0.000 0.000 0.500
0.000 0.500 0.000
0.500 0.000 0.000
0.500 0.500 0.500
0.000 0.000 0.000

TaTiCoNi | Alexandria | PBE | optimized geometry; DFT formation energy = -0.225 eV/atom; space group = F-43m; crystal system = cubic; E = -8.3834 eV/atom
1.0
0.000 3.036 3.036
3.036 0.000 3.036
3.036 3.036 0.000
Ta Ti Co Ni
1 1 1 1
Direct
0.000 0.000 0.000
0.500 0.500 0.500
0.750 0.750 0.750
0.250 0.250 0.250

Ga2MoRu3 | Alexandria | PBE | optimized geometry; DFT formation energy = -0.225 eV/atom; space group = P4/mmm; crystal system = tetragonal; E = -7.6774 eV/atom
1.0
3.037 0.000 0.000
0.000 3.037 0.000
0.000 0.000 9.283
Ga Mo Ru
2 1 3
Direct
0.000 0.000 0.159
0.000 0.000 0.841
0.000 0.000 0.500
0.500 0.500 0.000
0.500 0.500 0.327
0.500 0.500 0.673

HfAgB3 | Alexandria | PBE | optimized geometry; DFT formation energy = 1.765 eV/atom; energy above the most stable polymorph in this dataset = 126 meV per atom; space group = Pm-3m; crystal system = cubic; E = -4.8020 eV/atom
1.0
4.415 0.000 0.000
0.000 4.415 0.000
0.000 0.000 4.415
Hf Ag B
1 1 3
Direct
0.000 0.000 0.000
0.500 0.500 0.500
0.000 0.000 0.500
0.000 0.500 0.000
0.500 0.000 0.000

La2Be6Pt9 | Alexandria | PBE | optimized geometry; DFT formation energy = -0.849 eV/atom; space group = P6/mmm; crystal system = hexagonal; E = -5.9420 eV/atom
1.0
5.624 0.000 0.000
-2.812 4.871 0.000
0.000 0.000 10.065
La Be Pt
2 6 9
Direct
0.000 0.000 0.196
0.000 0.000 0.804
0.333 0.667 0.167
0.333 0.667 0.500
0.333 0.667 0.833
0.667 0.333 0.167
0.667 0.333 0.500
0.667 0.333 0.833
0.000 0.500 0.000
0.000 0.500 0.337
0.000 0.500 0.663
0.500 0.000 0.000
0.500 0.000 0.337
0.500 0.000 0.663
0.500 0.500 0.000
0.500 0.500 0.337
0.500 0.500 0.663

La2MgZn | Alexandria | PBE | optimized geometry; DFT formation energy = -0.216 eV/atom; energy above the most stable polymorph in this dataset = 0 meV per atom; space group = P2/m; crystal system = monoclinic; E = -3.3974 eV/atom
1.0
3.838 0.000 0.000
0.000 3.843 0.000
-0.010 0.000 7.808
La Mg Zn
2 1 1
Direct
0.000 0.000 0.226
0.000 0.000 0.774
0.500 0.500 0.500
0.500 0.500 0.000

BaCa2Tl | Alexandria | PBE | optimized geometry; DFT formation energy = -0.141 eV/atom; energy above the most stable polymorph in this dataset = 112 meV per atom; space group = P4/mmm; crystal system = tetragonal; E = -2.2139 eV/atom
1.0
5.266 0.000 0.000
0.000 5.266 0.000
0.000 0.000 5.540
Ba Ca Tl
1 2 1
Direct
0.000 0.000 0.000
0.000 0.500 0.500
0.500 0.000 0.500
0.500 0.500 0.000

LiCa | Alexandria | PBE | optimized geometry; DFT formation energy = 0.012 eV/atom; energy above the most stable polymorph in this dataset = 0 meV per atom; space group = Pm-3m; crystal system = cubic; E = -1.9460 eV/atom
1.0
3.967 0.000 0.000
0.000 3.967 0.000
0.000 0.000 3.967
Li Ca
1 1
Direct
0.000 0.000 0.000
0.500 0.500 0.500

TlOsBr | Alexandria | PBE | optimized geometry; formation energy without anion corrections = 0.966 eV/atom; energy above the most stable polymorph in this dataset = 7 meV per atom; space group = Fmm2; crystal system = orthorhombic; E = -4.1241 eV/atom
1.0
0.000 2.802 7.961
1.511 0.000 7.961
1.511 2.802 0.000
Tl Os Br
1 1 1
Direct
0.000 0.000 0.000
0.340 0.340 0.660
0.715 0.715 0.285

Ba3Hg12Au5 | Alexandria | PBE | optimized geometry; DFT formation energy = -0.103 eV/atom; space group = Ia-3d; crystal system = cubic; E = -1.3914 eV/atom
1.0
-8.936 8.936 8.936
8.936 -8.936 8.936
8.936 8.936 -8.936
Ba Hg Au
12 48 20
Direct
0.125 0.250 0.375
0.125 0.375 0.750
0.250 0.375 0.125
0.250 0.875 0.625
0.375 0.125 0.250
0.375 0.750 0.125
0.625 0.250 0.875
0.625 0.875 0.750
0.750 0.125 0.375
0.750 0.625 0.875
0.875 0.625 0.250
0.875 0.750 0.625
0.017 0.201 0.080
0.017 0.315 0.937
0.063 0.580 0.378
0.063 0.983 0.685
0.080 0.017 0.201
0.080 0.563 0.878
0.122 0.701 0.685
0.122 0.920 0.437
0.185 0.201 0.622
0.185 0.483 0.563
0.201 0.080 0.017
0.201 0.622 0.185
0.299 0.315 0.878
0.299 0.483 0.420
0.315 0.878 0.299
0.315 0.937 0.017
0.378 0.063 0.580
0.378 0.815 0.799
0.420 0.299 0.483
0.420 0.622 0.937
0.437 0.122 0.920
0.437 0.815 0.517
0.483 0.420 0.299
0.483 0.563 0.185
0.517 0.437 0.815
0.517 0.580 0.701
0.563 0.185 0.483
0.563 0.878 0.080
0.580 0.378 0.063
0.580 0.701 0.517
0.622 0.185 0.201
0.622 0.937 0.420
0.685 0.063 0.983
0.685 0.122 0.701
0.701 0.517 0.580
0.701 0.685 0.122
0.799 0.378 0.815
0.799 0.920 0.983
0.815 0.517 0.437
0.815 0.799 0.378
0.878 0.080 0.563
0.878 0.299 0.315
0.920 0.437 0.122
0.920 0.983 0.799
0.937 0.017 0.315
0.937 0.420 0.622
0.983 0.685 0.063
0.983 0.799 0.920
0.000 0.000 0.000
0.000 0.000 0.500
0.000 0.500 0.000
0.000 0.500 0.500
0.125 0.750 0.875
0.125 0.875 0.250
0.250 0.125 0.875
0.250 0.625 0.375
0.375 0.250 0.625
0.375 0.625 0.750
0.500 0.000 0.000
0.500 0.000 0.500
0.500 0.500 0.000
0.500 0.500 0.500
0.625 0.375 0.250
0.625 0.750 0.375
0.750 0.375 0.625
0.750 0.875 0.125
0.875 0.125 0.750
0.875 0.250 0.125

LiY2Cl | Alexandria | PBE | optimized geometry; formation energy without anion corrections = -0.503 eV/atom; energy above the most stable polymorph in this dataset = 136 meV per atom; space group = R-3m; crystal system = trigonal; E = -4.6756 eV/atom
1.0
1.779 1.027 9.358
-1.779 1.027 9.358
0.000 -2.054 9.358
Li Y Cl
1 2 1
Direct
0.000 0.000 0.000
0.245 0.245 0.245
0.755 0.755 0.755
0.500 0.500 0.500

Tl2PtCl | Alexandria | PBE | optimized geometry; formation energy without anion corrections = -0.203 eV/atom; energy above the most stable polymorph in this dataset = 123 meV per atom; space group = P2/m; crystal system = monoclinic; E = -3.3583 eV/atom
1.0
3.552 0.000 0.000
0.000 3.532 0.000
-0.065 0.000 7.980
Tl Pt Cl
2 1 1
Direct
0.003 0.000 0.204
0.997 0.000 0.796
0.500 0.500 0.000
0.000 0.500 0.500

Er2Ga4Ir3Pt | Alexandria | PBE | optimized geometry; DFT formation energy = -0.754 eV/atom; space group = P-4m2; crystal system = tetragonal; E = -6.1394 eV/atom
1.0
4.151 0.000 0.000
0.000 4.151 0.000
0.000 0.000 10.560
Er Ga Ir Pt
2 4 3 1
Direct
0.000 0.500 0.246
0.500 0.000 0.754
0.000 0.000 0.500
0.000 0.500 0.867
0.500 0.000 0.133
0.500 0.500 0.500
0.000 0.000 0.000
0.000 0.500 0.637
0.500 0.000 0.363
0.500 0.500 0.000

Ho2TiBiO6 | Alexandria | PBE | optimized geometry; formation energy without anion corrections = -2.545 eV/atom; space group = P4mm; crystal system = tetragonal; E = -7.6126 eV/atom
1.0
5.308 0.000 0.000
0.000 5.308 0.000
0.000 0.000 5.510
Ho Ti Bi O
2 1 1 6
Direct
0.000 0.500 0.000
0.500 0.000 0.000
0.000 0.000 0.635
0.500 0.500 0.529
0.000 0.000 0.303
0.234 0.234 0.782
0.234 0.766 0.782
0.500 0.500 0.130
0.766 0.234 0.782
0.766 0.766 0.782

Sr2HoBiO6 | Alexandria | PBE | optimized geometry; formation energy without anion corrections = -2.449 eV/atom; space group = P2_1/c; crystal system = monoclinic; E = -6.6057 eV/atom
1.0
5.941 0.000 0.000
0.000 6.067 0.000
-5.924 0.000 8.471
Sr Ho Bi O
4 2 2 12
Direct
0.239 0.044 0.250
0.239 0.456 0.750
0.761 0.544 0.250
0.761 0.956 0.750
0.500 0.000 0.000
0.500 0.500 0.500
0.000 0.000 0.500
0.000 0.500 0.000
0.148 0.213 0.949
0.148 0.287 0.449
0.240 0.702 0.952
0.240 0.798 0.452
0.337 0.033 0.744
0.337 0.467 0.244
0.663 0.533 0.756
0.663 0.967 0.256
0.760 0.202 0.548
0.760 0.298 0.048
0.852 0.713 0.551
0.852 0.787 0.051